1.
DFT (PBE) results for a geometry-optimized Ho3Fe3B8 structure.

## Properties
E_form (meV/atom): -248.8
DOS at the Fermi energy (states/eV/f.u.): 6.400

```
data_Ho3Fe3B8
_chemical_formula_sum 'Ho6 Fe6 B16'
_cell_length_a 3.173
_cell_length_b 7.945
_cell_length_c 12.622
_cell_angle_alpha 90.00
_cell_angle_beta 90.00
_cell_angle_gamma 90.00
_symmetry_space_group_name_H-M 'I m m m'
_symmetry_Int_Tables_number 71
_symmetry_space_group_name_Hall '-I 2 2'
loop_
_atom_site_label
_atom_site_type_symbol
_atom_site_fract_x
_atom_site_fract_y
_atom_site_fract_z
_atom_site_occupancy
Ho1 Ho 0.000 0.000 0.000 1
Ho2 Ho 0.000 0.000 0.277 1
Fe1 Fe 0.000 0.207 0.500 1
Fe2 Fe 0.000 0.500 0.000 1
B1 B 0.000 0.266 0.121 1
B2 B 0.000 0.319 0.363 1
```

2.
DFT (PBE) results for a geometry-optimized YZrSe3 structure.

## Properties
Offset from the most stable computed form (eV per atom): 1.196
E_form (uncorrected) (eV/atom): -0.348
DOS at the Fermi energy (states/eV/f.u.): 9.693

```
data_YZrSe3
_chemical_formula_sum 'Y1 Zr1 Se3'
_cell_length_a 5.333
_cell_length_b 5.333
_cell_length_c 5.333
_cell_angle_alpha 90.00
_cell_angle_beta 90.00
_cell_angle_gamma 90.00
_symmetry_space_group_name_H-M 'P m -3 m'
_symmetry_Int_Tables_number 221
_symmetry_space_group_name_Hall '-P 4 2 3'
loop_
_atom_site_label
_atom_site_type_symbol
_atom_site_fract_x
_atom_site_fract_y
_atom_site_fract_z
_atom_site_occupancy
Y1 Y 0.000 0.000 0.000 1
Zr1 Zr 0.500 0.500 0.500 1
Se1 Se 0.000 0.000 0.500 1
```

3.
DFT (PBE) results for a geometry-optimized NdSm4Tm3 structure.

## Properties
Offset from the most stable computed form (eV per atom): 0.200
E_form (meV/atom): 222.5
DOS at the Fermi energy (states/eV/f.u.): 12.757

```
data_NdSm4Tm3
_chemical_formula_sum 'Nd2 Sm8 Tm6'
_cell_length_a 5.705
_cell_length_b 25.980
_cell_length_c 3.595
_cell_angle_alpha 90.00
_cell_angle_beta 90.00
_cell_angle_gamma 90.00
_symmetry_space_group_name_H-M 'C m m m'
_symmetry_Int_Tables_number 65
_symmetry_space_group_name_Hall '-C 2 2'
loop_
_atom_site_label
_atom_site_type_symbol
_atom_site_fract_x
_atom_site_fract_y
_atom_site_fract_z
_atom_site_occupancy
Nd1 Nd 0.000 0.000 0.000 1
Sm1 Sm 0.000 0.105 0.500 1
Sm2 Sm 0.000 0.225 0.500 1
Tm1 Tm 0.000 0.347 0.000 1
Tm2 Tm 0.000 0.500 0.500 1
```

4.
DFT (PBE) results for a geometry-optimized RhPb3 structure.

## Properties
E_form (meV/atom): 222.9
DOS at the Fermi energy (states/eV/f.u.): 3.095

```
data_RhPb3
_chemical_formula_sum 'Rh4 Pb12'
_cell_length_a 4.705
_cell_length_b 4.705
_cell_length_c 18.440
_cell_angle_alpha 90.00
_cell_angle_beta 90.00
_cell_angle_gamma 90.00
_symmetry_space_group_name_H-M 'I 4/m m m'
_symmetry_Int_Tables_number 139
_symmetry_space_group_name_Hall '-I 4 2'
loop_
_atom_site_label
_atom_site_type_symbol
_atom_site_fract_x
_atom_site_fract_y
_atom_site_fract_z
_atom_site_occupancy
Rh1 Rh 0.000 0.000 0.149 1
Pb1 Pb 0.000 0.000 0.375 1
Pb2 Pb 0.000 0.500 0.000 1
Pb3 Pb 0.000 0.500 0.250 1
```

5.
DFT (PBE) results for a geometry-optimized RbFe2Br8 structure.

## Properties
E_form (uncorrected) (eV/atom): -0.653
DOS at the Fermi energy (states/eV/f.u.): 6.928

```
data_RbFe2Br8
_chemical_formula_sum 'Rb2 Fe4 Br16'
_cell_length_a 14.359
_cell_length_b 7.014
_cell_length_c 9.194
_cell_angle_alpha 90.00
_cell_angle_beta 112.64
_cell_angle_gamma 90.00
_symmetry_space_group_name_H-M 'C 1 2/m 1'
_symmetry_Int_Tables_number 12
loop_
_symmetry_equiv_pos_as_xyz
'x,y,z'
'-x,-y,-z'
'-x,y,-z'
'x,-y,z'
'x+1/2,y+1/2,z'
'-x+1/2,-y+1/2,-z'
'-x+1/2,y+1/2,-z'
'x+1/2,-y+1/2,z'
loop_
_atom_site_label
_atom_site_type_symbol
_atom_site_fract_x
_atom_site_fract_y
_atom_site_fract_z
_atom_site_occupancy
Rb1 Rb 0.000 0.000 0.000 1
Fe1 Fe 0.200 0.000 0.693 1
Br1 Br 0.124 0.500 0.172 1
Br2 Br 0.128 0.258 0.770 1
Br3 Br 0.163 0.000 0.425 1
```

6.
DFT (PBE) results for a geometry-optimized La2Nd3Sm3 structure.

## Properties
Offset from the most stable computed form (eV per atom): 0.104
E_form (meV/atom): 118.8
DOS at the Fermi energy (states/eV/f.u.): 11.410

```
data_La2Nd3Sm3
_chemical_formula_sum 'La8 Nd12 Sm12'
_cell_length_a 3.603
_cell_length_b 17.421
_cell_length_c 18.126
_cell_angle_alpha 90.00
_cell_angle_beta 90.00
_cell_angle_gamma 90.00
_symmetry_space_group_name_H-M 'C m c m'
_symmetry_Int_Tables_number 63
_symmetry_space_group_name_Hall '-C 2c 2'
loop_
_atom_site_label
_atom_site_type_symbol
_atom_site_fract_x
_atom_site_fract_y
_atom_site_fract_z
_atom_site_occupancy
La1 La 0.000 0.236 0.154 1
Nd1 Nd 0.000 0.348 0.000 1
Nd2 Nd 0.000 0.403 0.250 1
Sm1 Sm 0.000 0.001 0.601 1
Sm2 Sm 0.000 0.410 0.750 1
```

7.
DFT (PBE) results for a geometry-optimized Ti2BiH2 structure.

## Properties
Offset from the most stable computed form (eV per atom): 0.040
DOS at the Fermi energy (states/eV/f.u.): 4.390

```
data_Ti2BiH2
_chemical_formula_sum 'Ti4 Bi2 H4'
_cell_length_a 3.660
_cell_length_b 3.515
_cell_length_c 10.739
_cell_angle_alpha 90.00
_cell_angle_beta 90.00
_cell_angle_gamma 90.00
_symmetry_space_group_name_H-M 'A m m 2'
_symmetry_Int_Tables_number 38
loop_
_symmetry_equiv_pos_as_xyz
'x,y,z'
'-x,-y,z'
'-x,y,z'
'x,-y,z'
'x,y+1/2,z+1/2'
'-x,-y+1/2,z+1/2'
'-x,y+1/2,z+1/2'
'x,-y+1/2,z+1/2'
loop_
_atom_site_label
_atom_site_type_symbol
_atom_site_fract_x
_atom_site_fract_y
_atom_site_fract_z
_atom_site_occupancy
Ti1 Ti 0.000 0.000 0.000 1
Ti2 Ti 0.500 0.000 0.367 1
Bi1 Bi 0.500 0.000 0.650 1
H1 H 0.000 0.000 0.409 1
H2 H 0.500 0.000 0.930 1
```

8.
DFT (PBE) results for a geometry-optimized MgAlZn2 structure.

## Properties
E_form (meV/atom): -0.7
DOS at the Fermi energy (states/eV/f.u.): 1.375

```
data_MgAlZn2
_chemical_formula_sum 'Mg2 Al2 Zn4'
_cell_length_a 4.059
_cell_length_b 4.191
_cell_length_c 8.007
_cell_angle_alpha 90.00
_cell_angle_beta 90.00
_cell_angle_gamma 90.00
_symmetry_space_group_name_H-M 'C m m 2'
_symmetry_Int_Tables_number 35
loop_
_symmetry_equiv_pos_as_xyz
'x,y,z'
'-x,-y,z'
'-x,y,z'
'x,-y,z'
'x+1/2,y+1/2,z'
'-x+1/2,-y+1/2,z'
'-x+1/2,y+1/2,z'
'x+1/2,-y+1/2,z'
loop_
_atom_site_label
_atom_site_type_symbol
_atom_site_fract_x
_atom_site_fract_y
_atom_site_fract_z
_atom_site_occupancy
Mg1 Mg 0.000 0.000 0.000 1
Al1 Al 0.000 0.500 0.277 1
Zn1 Zn 0.000 0.000 0.514 1
Zn2 Zn 0.000 0.500 0.743 1
```

9.
DFT (PBE) results for a geometry-optimized Na2Ac3DySe6 structure.

## Properties
E_form (uncorrected) (eV/atom): -1.734
DOS at the Fermi energy (states/eV/f.u.): 3.735

```
data_Na2Ac3DySe6
_chemical_formula_sum 'Na4 Ac6 Dy2 Se12'
_cell_length_a 7.602
_cell_length_b 13.144
_cell_length_c 7.411
_cell_angle_alpha 90.00
_cell_angle_beta 109.83
_cell_angle_gamma 90.00
_symmetry_space_group_name_H-M 'C 1 2/m 1'
_symmetry_Int_Tables_number 12
loop_
_symmetry_equiv_pos_as_xyz
'x,y,z'
'-x,-y,-z'
'-x,y,-z'
'x,-y,z'
'x+1/2,y+1/2,z'
'-x+1/2,-y+1/2,-z'
'-x+1/2,y+1/2,-z'
'x+1/2,-y+1/2,z'
loop_
_atom_site_label
_atom_site_type_symbol
_atom_site_fract_x
_atom_site_fract_y
_atom_site_fract_z
_atom_site_occupancy
Na1 Na 0.000 0.165 0.000 1
Ac1 Ac 0.000 0.000 0.500 1
Ac2 Ac 0.000 0.329 0.500 1
Dy1 Dy 0.000 0.500 0.000 1
Se1 Se 0.239 0.338 0.231 1
Se2 Se 0.242 0.500 0.761 1
```

10.
DFT (PBE) results for a geometry-optimized CrSi2Ge structure.

## Properties
E_form (uncorrected) (eV/atom): 0.622
DOS at the Fermi energy (states/eV/f.u.): 0.211

```
data_CrSi2Ge
_chemical_formula_sum 'Cr4 Si8 Ge4'
_cell_length_a 5.642
_cell_length_b 5.642
_cell_length_c 10.968
_cell_angle_alpha 90.00
_cell_angle_beta 90.00
_cell_angle_gamma 90.00
_symmetry_space_group_name_H-M 'I -4 2 d'
_symmetry_Int_Tables_number 122
_symmetry_space_group_name_Hall 'I -4 2bw'
loop_
_atom_site_label
_atom_site_type_symbol
_atom_site_fract_x
_atom_site_fract_y
_atom_site_fract_z
_atom_site_occupancy
Cr1 Cr 0.000 0.000 0.000 1
Si1 Si 0.246 0.250 0.125 1
Ge1 Ge 0.000 0.000 0.500 1
```

11.
DFT (PBE) results for a geometry-optimized CrPSe3 structure.

## Properties
Offset from the most stable computed form (eV per atom): 0.883
E_form (uncorrected) (eV/atom): 0.615
DOS at the Fermi energy (states/eV/f.u.): 5.658

```
data_CrPSe3
_chemical_formula_sum 'Cr1 P1 Se3'
_cell_length_a 4.679
_cell_length_b 4.679
_cell_length_c 4.679
_cell_angle_alpha 90.00
_cell_angle_beta 90.00
_cell_angle_gamma 90.00
_symmetry_space_group_name_H-M 'P m -3 m'
_symmetry_Int_Tables_number 221
_symmetry_space_group_name_Hall '-P 4 2 3'
loop_
_atom_site_label
_atom_site_type_symbol
_atom_site_fract_x
_atom_site_fract_y
_atom_site_fract_z
_atom_site_occupancy
Cr1 Cr 0.000 0.000 0.000 1
P1 P 0.500 0.500 0.500 1
Se1 Se 0.000 0.000 0.500 1
```

12.
DFT (PBE) results for a geometry-optimized Nd5Sm6Sc2 structure.

## Properties
E_form (meV/atom): 138.2
DOS at the Fermi energy (states/eV/f.u.): 18.343

```
data_Nd5Sm6Sc2
_chemical_formula_sum 'Nd10 Sm12 Sc4'
_cell_length_a 10.882
_cell_length_b 22.658
_cell_length_c 3.538
_cell_angle_alpha 90.00
_cell_angle_beta 90.00
_cell_angle_gamma 90.00
_symmetry_space_group_name_H-M 'P b a m'
_symmetry_Int_Tables_number 55
loop_
_symmetry_equiv_pos_as_xyz
'x,y,z'
'-x,-y,-z'
'-x,-y,z'
'x,y,-z'
'x+1/2,-y+1/2,-z'
'-x+1/2,y+1/2,z'
'-x+1/2,y+1/2,-z'
'x+1/2,-y+1/2,z'
loop_
_atom_site_label
_atom_site_type_symbol
_atom_site_fract_x
_atom_site_fract_y
_atom_site_fract_z
_atom_site_occupancy
Nd1 Nd 0.000 0.000 0.000 1
Nd2 Nd 0.086 0.252 0.000 1
Nd3 Nd 0.167 0.508 0.000 1
Sm1 Sm 0.032 0.387 0.500 1
Sm2 Sm 0.138 0.118 0.500 1
Sm3 Sm 0.165 0.860 0.000 1
Sc1 Sc 0.164 0.729 0.500 1
```

Q: Which VASP energy values were calculated for the entries above? A: -6.859 -5.441 -4.410 -4.396 -3.497 -4.671 -5.495 -1.972 -5.106 -5.650 -4.482 -4.848, in eV/atom.